TcAs2Pt after structural relaxation. Source: Alexandria via LeMat-Bulk, functional PBE.

Lattice parameters (Å, degrees): 6.816 6.816 6.816 131.57 131.57 70.91
Fractional positions:
Tc1 0.000 0.000 0.000
Tc2 0.750 0.250 0.500
As1 0.116 0.625 0.991
As2 0.375 0.366 0.491
As3 0.634 0.125 0.009
As4 0.875 0.884 0.509
Pt1 0.250 0.750 0.500
Pt2 0.500 0.500 0.000

Calculated values
* DFT formation energy: 70 meV/atom
* raw total energy: -6.3567 eV per atom
* N(E_F): 4.07 states/eV per cell
* symmetry: No. 122